Run w
The following is a DFT calculation (PBE-GGA) of a relaxed TaBe3B crystal.

Lattice parameters (Å, degrees): 9.0125 9.0125 9.0125 159.38 159.03 29.58
Closest atoms and distances in Å follow each position.
Fractional coordinates of all 10 atoms:
Ta  0.3351  0.0851  0.2500  4 B 2.47, 10 Be 2.50-2.63
Ta  0.6649  0.9149  0.7500  4 B 2.47, 10 Be 2.50-2.63
Be  0.0471  0.7971  0.2500  2 B 1.98
Be  0.2206  0.4706  0.7500  1 B 1.87, 2 Be 1.93
Be  0.4530  0.7030  0.7500  2 B 2.01
Be  0.5470  0.2970  0.2500  2 B 2.01
Be  0.7794  0.5294  0.2500  1 B 1.87, 2 Be 1.93
Be  0.9529  0.2029  0.7500  2 B 1.98
B  0.1132  0.3632  0.7500  5 Be 1.87-2.01
B  0.8868  0.6368  0.2500  5 Be 1.87-2.01

V in Å³ per atom: 9.2
Total moment in μB/cell: 0.00
Fermi-level density of states in states/eV/cell: 0.7

***

Run x
The following is a DFT calculation (PBE-GGA) of a relaxed TaBe3B crystal.

Lattice parameters (Å, degrees): 3.6766 3.6766 3.6766 90.00 90.00 90.00
Closest atoms and distances in Å follow each position.
Fractional coordinates of all 5 atoms:
Ta  0.0000  0.0000  0.0000  12 Be 2.60
Be  0.0000  0.5000  0.5000  2 B 1.84
Be  0.5000  0.0000  0.5000  2 B 1.84
Be  0.5000  0.5000  0.0000  2 B 1.84
B  0.5000  0.5000  0.5000  6 Be 1.84

V in Å³ per atom: 9.9
Total moment in μB/cell: 0.00
Fermi-level density of states in states/eV/cell: 1.8

***

Taking the most stable structure as the zero point, the relative energies in kJ/mol of atoms are run w 0.0; run x 70.6.